GdErI2O2: optimized geometry, PBE.

Cell: 3.9279 3.9279 9.3052 Å, 90.00 90.00 90.00°
Last column: nearest neighbours and their distance in Å.
Space group P4mm (No. 99)
One atom of each set of equivalent atoms:
Gd1 0.0000 0.0000 0.0000 (multiplicity 1)  4 O 2.27
Er1 0.5000 0.5000 0.2359 (multiplicity 1)  4 O 2.23
I1 0.0000 0.0000 0.4393 (multiplicity 1)  4 Er 3.36, 4 O 3.54
I2 0.5000 0.5000 0.7959 (multiplicity 1)  4 Gd 3.36, 4 O 3.62
O1 0.0000 0.5000 0.1222 (multiplicity 2)  2 Er 2.23, 2 Gd 2.27

Calculated total energy, eV for the cell shown: -38.55



Pr3Si2Ge2: optimized geometry, PBE.

Cell: 4.0640 4.4726 18.2652 Å, 90.00 90.00 90.00°
Last column: nearest neighbours and their distance in Å.
Space group Immm (No. 71)
One atom of each set of equivalent atoms:
Pr1 0.0000 0.0000 0.0000 (multiplicity 2)  8 Si 3.24, 4 Ge 3.52
Pr2 0.0000 0.5000 0.3198 (multiplicity 4)  5 Ge 3.08-3.12, 2 Si 3.08
Si1 0.0000 0.0000 0.4357 (multiplicity 4)  1 Si 2.35, 2 Ge 2.55
Ge1 0.0000 0.5000 0.1488 (multiplicity 4)  2 Si 2.55

Calculated total energy, eV for the cell shown: -79.34



Nd3Cd3Pt2Au: optimized geometry, PBE.

Cell: 4.0384 13.4845 7.7896 Å, 90.00 90.00 90.00°
Last column: nearest neighbours and their distance in Å.
Space group Amm2 (No. 38)
One atom of each set of equivalent atoms:
Nd1 0.0000 0.0000 0.0000 (multiplicity 2)  4 Pt 3.09, 1 Au 3.20, 6 Cd 3.28-3.45
Nd2 0.0000 0.2058 0.3825 (multiplicity 4)  4 Pt 3.10, 1 Au 3.21, 6 Cd 3.28-3.46
Cd1 0.5000 0.0000 0.3313 (multiplicity 2)  2 Au 2.85, 2 Pt 2.93
Cd2 0.5000 0.1281 0.7170 (multiplicity 4)  2 Au 2.84, 2 Pt 2.93-2.95
Pt1 0.5000 0.1661 0.0880 (multiplicity 4)  3 Cd 2.93-2.95, 6 Nd 3.09-3.10
Au1 0.0000 0.0000 0.5890 (multiplicity 2)  6 Cd 2.84-2.85

Formation energy, kJ per mole of atoms: -76.7



YErMg6: optimized geometry, PBE.

Cell: 5.1608 5.1608 7.3100 Å, 90.00 90.00 90.00°
Last column: nearest neighbours and their distance in Å.
Space group P4/mmm (No. 123)
One atom of each set of equivalent atoms:
Y1 0.0000 0.0000 0.0000 (multiplicity 1)  8 Mg 3.17
Er1 0.5000 0.5000 0.5000 (multiplicity 1)  8 Mg 3.15
Mg1 0.0000 0.0000 0.5000 (multiplicity 1)  8 Mg 3.15
Mg2 0.0000 0.5000 0.2523 (multiplicity 4)  4 Mg 3.15-3.17, 2 Er 3.15, 2 Y 3.17
Mg3 0.5000 0.5000 0.0000 (multiplicity 1)  8 Mg 3.17

Offset from the most stable computed form, meV/atom: 0



GdPuB: optimized geometry, PBE.

Cell: 6.3225 6.3225 6.3225 Å, 90.00 90.00 90.00°
Last column: nearest neighbours and their distance in Å.
Space group F-43m (No. 216)
One atom of each set of equivalent atoms:
Gd1 0.0000 0.0000 0.0000 (multiplicity 4)  4 B 2.74
Pu1 0.0000 0.0000 0.5000 (multiplicity 4)  4 B 2.74
B1 0.2500 0.2500 0.2500 (multiplicity 4)  4 Gd 2.74, 4 Pu 2.74

Offset from the most stable computed form, meV/atom: 0



Na2Mg2AlGaPt2: optimized geometry, PBE.

Cell: 4.5868 4.5868 6.4802 Å, 90.00 90.00 90.00°
Last column: nearest neighbours and their distance in Å.
Space group P-4m2 (No. 115)
One atom of each set of equivalent atoms:
Na1 0.0000 0.5000 0.2470 (multiplicity 2)  4 Mg 2.80-2.82, 2 Ga 2.80, 2 Al 2.82
Mg1 0.0000 0.0000 0.0000 (multiplicity 1)  4 Na 2.80, 4 Pt 2.83
Mg2 0.5000 0.5000 0.5000 (multiplicity 1)  4 Pt 2.78, 4 Na 2.82
Al1 0.0000 0.0000 0.5000 (multiplicity 1)  4 Pt 2.78, 4 Na 2.82
Ga1 0.5000 0.5000 0.0000 (multiplicity 1)  4 Na 2.80, 4 Pt 2.83
Pt1 0.0000 0.5000 0.7429 (multiplicity 2)  4 Mg 2.78-2.83, 2 Al 2.78, 2 Ga 2.83

Calculated total energy, eV for the cell shown: -28.02



NaSmGa: optimized geometry, PBE.

Cell: 7.0693 7.0693 7.0693 Å, 90.00 90.00 90.00°
Last column: nearest neighbours and their distance in Å.
Space group F-43m (No. 216)
One atom of each set of equivalent atoms:
Na1 0.0000 0.0000 0.0000 (multiplicity 4)  4 Sm 3.06
Sm1 0.2500 0.2500 0.7500 (multiplicity 4)  4 Na 3.06, 4 Ga 3.06
Ga1 0.0000 0.0000 0.5000 (multiplicity 4)  4 Sm 3.06

Offset from the most stable computed form, meV/atom: 337



HfSc2Pb: optimized geometry, PBE.

Cell: 7.1269 7.1269 7.1269 Å, 90.00 90.00 90.00°
Last column: nearest neighbours and their distance in Å.
Space group F-43m (No. 216)
One atom of each set of equivalent atoms:
Hf1 0.0000 0.0000 0.0000 (multiplicity 4)  4 Pb 3.09, 4 Sc 3.09
Sc1 0.0000 0.0000 0.5000 (multiplicity 4)  4 Pb 3.09, 4 Sc 3.09
Sc2 0.2500 0.2500 0.2500 (multiplicity 4)  4 Hf 3.09, 4 Sc 3.09
Pb1 0.2500 0.2500 0.7500 (multiplicity 4)  4 Hf 3.09, 4 Sc 3.09

Calculated total energy, eV for the cell shown: -104.61



LiHfCuB: optimized geometry, PBE.

Cell: 5.7599 5.7599 5.7599 Å, 90.00 90.00 90.00°
Last column: nearest neighbours and their distance in Å.
Space group F-43m (No. 216)
One atom of each set of equivalent atoms:
Li1 0.0000 0.0000 0.0000 (multiplicity 4)  4 Hf 2.49, 4 Cu 2.49
Hf1 0.2500 0.2500 0.2500 (multiplicity 4)  4 Li 2.49, 4 B 2.49
Cu1 0.2500 0.2500 0.7500 (multiplicity 4)  4 Li 2.49, 4 B 2.49
B1 0.0000 0.0000 0.5000 (multiplicity 4)  4 Hf 2.49, 4 Cu 2.49

Offset from the most stable computed form, meV/atom: 0



InFeCuTeSe2: optimized geometry, PBE.

Cell: 3.6602 14.0354 10.2563 Å, 90.00 90.00 90.00°
Last column: nearest neighbours and their distance in Å.
Space group Cmcm (No. 63)
One atom of each set of equivalent atoms:
In1 0.0000 0.2252 0.2500 (multiplicity 4)  2 Cu 2.99, 4 Se 3.27, 2 Te 3.33
Fe1 0.0000 0.0000 0.0000 (multiplicity 4)  4 Se 2.47
Cu1 0.0000 0.4434 0.7500 (multiplicity 4)  2 Se 2.40, 2 Te 2.62
Te1 0.0000 0.0769 0.7500 (multiplicity 4)  2 Cu 2.62, 2 Fe 2.78
Se1 0.0000 0.3837 0.5311 (multiplicity 8)  1 Cu 2.40, 2 Fe 2.47

Calculated total energy, eV for the cell shown: -101.90



TlBiMo4N2: optimized geometry, PBE.

Cell: 3.3204 3.3204 13.2373 Å, 90.00 90.00 120.00°
Last column: nearest neighbours and their distance in Å.
Space group P-6m2 (No. 187)
One atom of each set of equivalent atoms:
Tl1 0.0000 0.0000 0.0000 (multiplicity 1)  6 Mo 3.03, 6 Tl 3.32
Bi1 0.3333 0.6667 0.5000 (multiplicity 1)  6 Mo 3.06, 6 Bi 3.32
Mo1 0.0000 0.0000 0.3197 (multiplicity 2)  3 N 2.12
Mo2 0.3333 0.6667 0.1768 (multiplicity 2)  3 N 2.16
N1 0.6667 0.3333 0.2516 (multiplicity 2)  6 Mo 2.12-2.16

Calculated total energy, eV for the cell shown: -65.02



ErAlCu: optimized geometry, PBE.

Cell: 6.9735 6.9735 3.9867 Å, 90.00 90.00 120.00°
Last column: nearest neighbours and their distance in Å.
Space group P-62m (No. 189)
One atom of each set of equivalent atoms:
Er1 0.0000 0.5846 0.0000 (multiplicity 3)  5 Cu 2.89-2.90, 6 Al 3.14-3.21
Al1 0.0000 0.2361 0.5000 (multiplicity 3)  4 Cu 2.59-2.73, 2 Al 2.85
Cu1 0.0000 0.0000 0.0000 (multiplicity 1)  6 Al 2.59
Cu2 0.3333 0.6667 0.5000 (multiplicity 2)  3 Al 2.73, 6 Er 2.89

Calculated total energy, eV for the cell shown: -40.26



YAgIr2: optimized geometry, PBE.

Cell: 6.6172 6.6172 6.6172 Å, 90.00 90.00 90.00°
Last column: nearest neighbours and their distance in Å.
Space group F-43m (No. 216)
One atom of each set of equivalent atoms:
Y1 0.0000 0.0000 0.0000 (multiplicity 4)  4 Ir 2.87, 4 Ag 2.87
Ag1 0.2500 0.2500 0.2500 (multiplicity 4)  4 Ir 2.87, 4 Y 2.87
Ir1 0.0000 0.0000 0.5000 (multiplicity 4)  4 Ir 2.87, 4 Ag 2.87
Ir2 0.2500 0.2500 0.7500 (multiplicity 4)  4 Ir 2.87, 4 Y 2.87

Formation energy, kJ per mole of atoms: 0.1



SmHoPt: optimized geometry, PBE.

Cell: 7.2068 4.8104 8.8355 Å, 90.00 90.00 90.00°
Last column: nearest neighbours and their distance in Å.
Space group Pnma (No. 62)
One atom of each set of equivalent atoms:
Sm1 0.0096 0.2500 0.1716 (multiplicity 4)  3 Pt 2.89-3.12
Ho1 0.1435 0.2500 0.5804 (multiplicity 4)  4 Pt 2.85-3.01
Pt1 0.2486 0.2500 0.9096 (multiplicity 4)  4 Ho 2.85-3.01, 3 Sm 2.89-3.12

Formation energy, kJ per mole of atoms: -89.3
Offset from the most stable computed form, meV/atom: 0



SmAl2Ge2: optimized geometry, PBE.

Cell: 4.2937 4.2937 6.8018 Å, 90.00 90.00 120.00°
Last column: nearest neighbours and their distance in Å.
Space group P-3m1 (No. 164)
One atom of each set of equivalent atoms:
Sm1 0.0000 0.0000 0.0000 (multiplicity 1)  6 Ge 3.05
Al1 0.3333 0.6667 0.6430 (multiplicity 2)  4 Ge 2.56-2.59
Ge1 0.3333 0.6667 0.2624 (multiplicity 2)  4 Al 2.56-2.59

Calculated total energy, eV for the cell shown: -23.63



Lu4In3W2N3: optimized geometry, PBE.

Cell: 9.8856 5.7670 14.8220 Å, 90.00 102.62 90.00°
Last column: nearest neighbours and their distance in Å.
Space group C2/c (No. 15)
One atom of each set of equivalent atoms:
Lu1 0.1134 0.0820 0.0899 (multiplicity 8)  3 N 2.31-2.33
Lu2 0.2193 0.0849 0.4101 (multiplicity 8)  3 N 2.31-2.33
In1 0.0000 0.1198 0.7500 (multiplicity 4)  2 In 2.96, 4 Lu 3.07-3.08, 2 W 3.09
In2 0.1491 0.4346 0.2492 (multiplicity 8)  2 In 2.95-2.96, 4 Lu 3.06-3.08, 2 W 3.09
W1 0.0604 0.4160 0.9282 (multiplicity 8)  3 N 2.16-2.18
N1 0.0824 0.2522 0.5000 (multiplicity 8)  2 W 2.16-2.18, 4 Lu 2.31-2.33
N2 0.2500 0.2500 0.0000 (multiplicity 4)  2 W 2.17, 4 Lu 2.31-2.33

Calculated total energy, eV for the cell shown: -343.22



HfNb2Bi2: optimized geometry, PBE.

Cell: 4.0463 4.0463 13.9553 Å, 90.00 90.00 90.00°
Last column: nearest neighbours and their distance in Å.
Space group I4/mmm (No. 139)
One atom of each set of equivalent atoms:
Hf1 0.0000 0.0000 0.0000 (multiplicity 2)  8 Bi 3.22
Nb1 0.0000 0.5000 0.2500 (multiplicity 4)  4 Bi 2.85, 4 Nb 2.86
Bi1 0.0000 0.0000 0.3941 (multiplicity 4)  4 Nb 2.85, 1 Bi 2.96

Calculated total energy, eV for the cell shown: -71.27



Lu4FePC2: optimized geometry, PBE.

Cell: 3.5208 3.5208 13.5470 Å, 90.00 90.00 120.00°
Last column: nearest neighbours and their distance in Å.
Space group P-6m2 (No. 187)
One atom of each set of equivalent atoms:
Lu1 0.0000 0.0000 0.1420 (multiplicity 2)  3 C 2.45
Lu2 0.6667 0.3333 0.3372 (multiplicity 2)  3 C 2.40
Fe1 0.0000 0.0000 0.5000 (multiplicity 1)  6 Lu 3.00
P1 0.6667 0.3333 0.0000 (multiplicity 1)  6 Lu 2.80
C1 0.3333 0.6667 0.2430 (multiplicity 2)  6 Lu 2.40-2.45

Calculated total energy, eV for the cell shown: -53.15



Zr4TlS8: optimized geometry, PBE.

Cell: 7.3179 7.3179 23.3071 Å, 90.00 90.00 120.00°
Last column: nearest neighbours and their distance in Å.
Space group R-3m (No. 166, hexagonal axes)
One atom of each set of equivalent atoms:
Zr1 0.0000 0.0000 0.0000 (multiplicity 3)  6 S 2.59
Zr2 0.0000 0.5000 0.0000 (multiplicity 9)  6 S 2.58-2.60
Tl1 0.0000 0.0000 0.5000 (multiplicity 3)  6 S 3.19
S1 0.0000 0.0000 0.2697 (multiplicity 6)  3 Zr 2.58
S2 0.0012 0.5006 0.7311 (multiplicity 18)  3 Zr 2.59-2.60

Calculated total energy, eV for the cell shown: -265.18



Cd3Pt: optimized geometry, PBE.

Cell: 4.8065 5.9539 5.3264 Å, 90.00 90.00 90.00°
Last column: nearest neighbours and their distance in Å.
Space group Pmmn (No. 59, origin choice 2)
One atom of each set of equivalent atoms:
Cd1 0.2500 0.0039 0.1668 (multiplicity 4)  8 Cd 2.91-3.21, 4 Pt 2.95-3.12
Cd2 0.2500 0.7500 0.6346 (multiplicity 2)  8 Cd 2.91-3.21, 4 Pt 2.94-2.99
Pt1 0.2500 0.2500 0.6834 (multiplicity 2)  12 Cd 2.94-3.12

Formation energy, kJ per mole of atoms: -21.0



La2SnPd: optimized geometry, PBE.

Cell: 4.6529 4.2180 11.7073 Å, 90.00 90.00 90.00°
Last column: nearest neighbours and their distance in Å.
Space group Amm2 (No. 38)
One atom of each set of equivalent atoms:
La1 0.0000 0.0000 0.0000 (multiplicity 2)  4 Pd 3.21, 3 Sn 3.29-3.32
La2 0.5000 0.0000 0.2829 (multiplicity 2)  3 Pd 3.23-3.37, 4 Sn 3.24
Sn1 0.0000 0.0000 0.7160 (multiplicity 2)  2 Pd 2.97, 6 La 3.24-3.29
Pd1 0.5000 0.0000 0.5587 (multiplicity 2)  2 Sn 2.97, 5 La 3.21-3.23

Calculated total energy, eV for the cell shown: -44.20



SrSiPd4: optimized geometry, PBE.

Cell: 6.4663 5.6184 12.4132 Å, 90.00 90.00 90.00°
Last column: nearest neighbours and their distance in Å.
Space group Pnma (No. 62)
One atom of each set of equivalent atoms:
Sr1 0.1950 0.2500 0.1597 (multiplicity 4)  7 Pd 3.09-3.31, 2 Si 3.43
Si1 0.0894 0.2500 0.5487 (multiplicity 4)  6 Pd 2.31-2.40
Pd1 0.0539 0.7500 0.0527 (multiplicity 4)  1 Si 2.31
Pd2 0.0907 0.2500 0.7392 (multiplicity 4)  1 Si 2.36
Pd3 0.1905 0.0007 0.4011 (multiplicity 8)  2 Si 2.38-2.40

Calculated total energy, eV for the cell shown: -127.60



KMgNbNi: optimized geometry, PBE.

Cell: 6.6719 6.6719 6.6719 Å, 90.00 90.00 90.00°
Last column: nearest neighbours and their distance in Å.
Space group F-43m (No. 216)
One atom of each set of equivalent atoms:
K1 0.0000 0.0000 0.0000 (multiplicity 4)  4 Nb 2.89, 4 Mg 2.89
Mg1 0.2500 0.2500 0.2500 (multiplicity 4)  4 K 2.89, 4 Ni 2.89
Nb1 0.2500 0.2500 0.7500 (multiplicity 4)  4 K 2.89, 4 Ni 2.89
Ni1 0.0000 0.0000 0.5000 (multiplicity 4)  4 Mg 2.89, 4 Nb 2.89

Offset from the most stable computed form, meV/atom: 0



MgScPdPt: optimized geometry, PBE.

Cell: 6.4990 6.4990 6.4990 Å, 90.00 90.00 90.00°
Last column: nearest neighbours and their distance in Å.
Space group F-43m (No. 216)
One atom of each set of equivalent atoms:
Mg1 0.0000 0.0000 0.0000 (multiplicity 4)  4 Pt 2.81, 4 Sc 2.81
Sc1 0.2500 0.2500 0.2500 (multiplicity 4)  4 Mg 2.81, 4 Pd 2.81
Pd1 0.0000 0.0000 0.5000 (multiplicity 4)  4 Sc 2.81, 4 Pt 2.81
Pt1 0.2500 0.2500 0.7500 (multiplicity 4)  4 Pd 2.81, 4 Mg 2.81

Offset from the most stable computed form, meV/atom: 362